Material: LaCr2Au
Method: DFT, PBE
State: relaxed

Geometry as POSCAR:
```
LaCr2Au
1.0
4.931 0.000 0.000
2.466 4.271 0.000
2.466 1.424 4.026
Cr La Au
2 1 1
Direct
0.000 0.000 0.000
0.750 0.750 0.750
0.250 0.250 0.250
0.500 0.500 0.500
```

Summary:
Volume   21.2 Å³ per atom
Formation energy   180 meV/atom
Crystal system   cubic
Energy relative to the lowest polymorph listed for this composition   0.119 eV per atom
DFT total energy   -6.683 eV/atom



Material: Y2IrPtC
Method: DFT, PBE
State: relaxed

Geometry as POSCAR:
```
Y2IrPtC
1.0
-1.850 3.172 -3.388
0.010 -3.644 -3.418
-3.553 -0.974 1.028
Pt Y Ir C
1 2 1 1
Direct
0.500 0.500 0.500
0.000 0.500 0.000
0.500 0.000 0.000
0.000 0.000 0.500
0.000 0.000 0.000
```

Summary:
Volume   19.1 Å³ per atom
Formation energy   -751 meV/atom
Crystal system   tetragonal
DFT total energy   -8.161 eV/atom



Material: InTeAu
Method: DFT, PBE
State: relaxed

Geometry as POSCAR:
```
InTeAu
1.0
5.300 0.020 0.000
1.937 4.934 0.000
-3.619 -2.477 2.977
In Te Au
1 1 1
Direct
0.327 0.327 0.000
0.675 0.675 0.000
0.998 0.998 0.000
```

Summary:
Volume   25.9 Å³ per atom
Crystal system   tetragonal
DFT total energy   -3.013 eV/atom



Material: AcAs2H2O7
Method: DFT, PBE
State: relaxed

Geometry as POSCAR:
```
AcAs2H2O7
1.0
-0.481 -5.329 -2.064
3.809 -4.014 1.508
-3.427 -5.098 5.992
As O H Ac
2 7 2 1
Direct
0.749 0.749 0.754
0.251 0.251 0.246
0.990 0.563 0.189
0.563 0.258 0.189
0.500 0.500 0.500
0.258 0.990 0.189
0.742 0.437 0.811
0.437 0.010 0.811
0.010 0.742 0.811
0.540 0.540 0.380
0.460 0.460 0.620
0.000 0.000 0.000
```

Summary:
Volume   18.8 Å³ per atom
Crystal system   trigonal
DFT total energy   -5.870 eV/atom